(1)
# SmSn4Ru | the Alexandria database | GGA-PBE | relaxed
# D(E_F) in states/eV per cell: 7.76
# E_tot in eV per cell: -63.44
# M_tot in μB per formula unit: 0.00
# Formation energy from the elements in meV per atom: -286
data_SmSn4Ru
_symmetry_space_group_name_H-M 'P b a m'
_symmetry_Int_Tables_number 55
_cell_length_a 6.4725
_cell_length_b 6.4983
_cell_length_c 7.2445
_cell_angle_alpha 90.00
_cell_angle_beta 90.00
_cell_angle_gamma 90.00
loop_
_symmetry_equiv_pos_as_xyz
'x,y,z'
'-x,-y,-z'
'-x,-y,z'
'x,y,-z'
'x+1/2,-y+1/2,-z'
'-x+1/2,y+1/2,z'
'-x+1/2,y+1/2,-z'
'x+1/2,-y+1/2,z'
loop_
_atom_site_label
_atom_site_fract_x
_atom_site_fract_y
_atom_site_fract_z
Sm1 0.0000 0.0000 0.0000
Sn1 0.1854 0.3141 0.2956
Ru1 0.0000 0.0000 0.5000


(2)
# Zr2ScGa | the Alexandria database | GGA-PBE | relaxed
# D(E_F) in states/eV per cell: 14.44
# E_tot in eV per cell: -78.59
# M_tot in μB per formula unit: 0.52
# Formation energy from the elements in meV per atom: 64
data_Zr2ScGa
_symmetry_space_group_name_H-M 'R -3 m'
_symmetry_Int_Tables_number 166
_symmetry_space_group_name_Hall '-R 3 2"'
_cell_length_a 3.0805
_cell_length_b 3.0805
_cell_length_c 32.3218
_cell_angle_alpha 90.00
_cell_angle_beta 90.00
_cell_angle_gamma 120.00
loop_
_atom_site_label
_atom_site_fract_x
_atom_site_fract_y
_atom_site_fract_z
Zr1 0.0000 0.0000 0.0927
Sc1 0.0000 0.0000 0.0000
Ga1 0.0000 0.0000 0.5000


(3)
# PrErO3 | the Alexandria database | GGA-PBE | relaxed
# D(E_F) in states/eV per cell: 0.00
# E_form (uncorrected) in eV per atom: -3.39
# E_tot in eV per cell: -82.35
# M_tot in μB per formula unit: 0.00
data_PrErO3
_symmetry_space_group_name_H-M 'P 1 21/m 1'
_symmetry_Int_Tables_number 11
_cell_length_a 5.7915
_cell_length_b 3.9343
_cell_length_c 8.2532
_cell_angle_alpha 90.00
_cell_angle_beta 101.26
_cell_angle_gamma 90.00
loop_
_symmetry_equiv_pos_as_xyz
'x,y,z'
'-x,-y,-z'
'-x,y+1/2,-z'
'x,-y+1/2,z'
loop_
_atom_site_label
_atom_site_fract_x
_atom_site_fract_y
_atom_site_fract_z
Pr1 0.2242 0.2500 0.3975
Er1 0.3996 0.2500 0.8329
O1 0.0688 0.2500 0.6578
O2 0.4306 0.2500 0.1139
O3 0.4440 0.7500 0.3809